Compound: WO2F2
Source: Alexandria via LeMat-Bulk
Functional: PBE+U
Structure: optimized geometry

## Properties
Size of the total moment, μB per formula unit: 0.00
DFT total energy, eV per atom: -5.85
Density, Mg/m³: 7.108
Space group: P4/mmm (123)

Cell: 3.8227 3.8227 4.0582 Å, 90.00 90.00 90.00°
Last column: nearest neighbours and their distance in Å.
Fractional positions:
F: 0.0000 0.0000 0.5000  2 W 2.03
O: 0.0000 0.5000 0.0000  2 W 1.91
W: 0.0000 0.0000 0.0000  4 O 1.91, 2 F 2.03
O: 0.5000 0.0000 0.0000  2 W 1.91
F: 0.5000 0.5000 0.5000  4 F 2.70, 8 O 2.79